Record 1
An optimized crystal structure of PrNdTlIn, computed with PBE.

Values from the calculation:
Fermi-level density of states in states/eV/atom: 0.8056
Energy above the lowest structure with this stoichiometry in meV per atom: 0
ΔE_f in eV per atom: -0.445

```
data_PrNdTlIn
_space_group_name_H-M_alt 'P 1'
_space_group_IT_number 1
_space_group_name_Hall 'P 1'
_cell_length_a 3.901
_cell_length_b 3.901
_cell_length_c 7.841
_cell_angle_alpha 90.00
_cell_angle_beta 90.00
_cell_angle_gamma 90.00
loop_
_atom_site_label
_atom_site_type_symbol
_atom_site_fract_x
_atom_site_fract_y
_atom_site_fract_z
_atom_site_occupancy
Pr1 Pr 0.000 0.000 0.000 1
Nd1 Nd 0.000 0.000 0.495 1
Tl1 Tl 0.500 0.500 0.745 1
In1 In 0.500 0.500 0.250 1
```

Record 2
An optimized crystal structure of PrNdTlIn, computed with PBE.

Values from the calculation:
Fermi-level density of states in states/eV/atom: 0.5108
Energy above the lowest structure with this stoichiometry in meV per atom: 5
ΔE_f in eV per atom: -0.441

```
data_PrNdTlIn
_space_group_name_H-M_alt 'P 1'
_space_group_IT_number 1
_space_group_name_Hall 'P 1'
_cell_length_a 7.810
_cell_length_b 7.810
_cell_length_c 7.810
_cell_angle_alpha 90.00
_cell_angle_beta 90.00
_cell_angle_gamma 90.00
loop_
_atom_site_label
_atom_site_type_symbol
_atom_site_fract_x
_atom_site_fract_y
_atom_site_fract_z
_atom_site_occupancy
Pr1 Pr 0.000 0.000 0.000 1
Pr2 Pr 0.000 0.500 0.500 1
Pr3 Pr 0.500 0.000 0.500 1
Pr4 Pr 0.500 0.500 0.000 1
Nd1 Nd 0.000 0.000 0.500 1
Nd2 Nd 0.000 0.500 0.000 1
Nd3 Nd 0.500 0.000 0.000 1
Nd4 Nd 0.500 0.500 0.500 1
Tl1 Tl 0.250 0.250 0.250 1
Tl2 Tl 0.250 0.750 0.750 1
Tl3 Tl 0.750 0.250 0.750 1
Tl4 Tl 0.750 0.750 0.250 1
In1 In 0.250 0.250 0.750 1
In2 In 0.250 0.750 0.250 1
In3 In 0.750 0.250 0.250 1
In4 In 0.750 0.750 0.750 1
```

Record 3
An optimized crystal structure of Pr2Nd6Tm3In, computed with PBE.

Values from the calculation:
Fermi-level density of states in states/eV/atom: 1.0819
ΔE_f in eV per atom: -0.051

```
data_Pr2Nd6Tm3In
_space_group_name_H-M_alt 'P 1'
_space_group_IT_number 1
_space_group_name_Hall 'P 1'
_cell_length_a 6.217
_cell_length_b 6.217
_cell_length_c 11.909
_cell_angle_alpha 94.98
_cell_angle_beta 94.98
_cell_angle_gamma 120.08
loop_
_atom_site_label
_atom_site_type_symbol
_atom_site_fract_x
_atom_site_fract_y
_atom_site_fract_z
_atom_site_occupancy
Pr1 Pr 0.166 0.834 0.000 1
Pr2 Pr 0.834 0.166 0.000 1
Nd1 Nd 0.090 0.416 0.747 1
Nd2 Nd 0.259 0.259 0.254 1
Nd3 Nd 0.416 0.090 0.747 1
Nd4 Nd 0.584 0.910 0.253 1
Nd5 Nd 0.741 0.741 0.746 1
Nd6 Nd 0.910 0.584 0.253 1
Tm1 Tm 0.000 0.000 0.500 1
Tm2 Tm 0.333 0.667 0.500 1
Tm3 Tm 0.667 0.333 0.500 1
In1 In 0.500 0.500 0.000 1
```

Record 4
An optimized crystal structure of PrNdTmIn, computed with PBE.

Values from the calculation:
Fermi-level density of states in states/eV/atom: 1.4329
Energy above the lowest structure with this stoichiometry in meV per atom: 0
ΔE_f in eV per atom: -0.097

```
data_PrNdTmIn
_space_group_name_H-M_alt 'P 1'
_space_group_IT_number 1
_space_group_name_Hall 'P 1'
_cell_length_a 7.850
_cell_length_b 7.850
_cell_length_c 7.850
_cell_angle_alpha 90.00
_cell_angle_beta 90.00
_cell_angle_gamma 90.00
loop_
_atom_site_label
_atom_site_type_symbol
_atom_site_fract_x
_atom_site_fract_y
_atom_site_fract_z
_atom_site_occupancy
Pr1 Pr 0.000 0.000 0.000 1
Pr2 Pr 0.000 0.500 0.500 1
Pr3 Pr 0.500 0.000 0.500 1
Pr4 Pr 0.500 0.500 0.000 1
Nd1 Nd 0.250 0.250 0.250 1
Nd2 Nd 0.250 0.750 0.750 1
Nd3 Nd 0.750 0.250 0.750 1
Nd4 Nd 0.750 0.750 0.250 1
Tm1 Tm 0.000 0.000 0.500 1
Tm2 Tm 0.000 0.500 0.000 1
Tm3 Tm 0.500 0.000 0.000 1
Tm4 Tm 0.500 0.500 0.500 1
In1 In 0.250 0.250 0.750 1
In2 In 0.250 0.750 0.250 1
In3 In 0.750 0.250 0.250 1
In4 In 0.750 0.750 0.750 1
```

Record 5
An optimized crystal structure of PrNdTm2In4, computed with PBE.

Values from the calculation:
Fermi-level density of states in states/eV/atom: 0.4684
ΔE_f in eV per atom: -0.455

```
data_PrNdTm2In4
_space_group_name_H-M_alt 'P 1'
_space_group_IT_number 1
_space_group_name_Hall 'P 1'
_cell_length_a 9.338
_cell_length_b 9.338
_cell_length_c 9.338
_cell_angle_alpha 33.47
_cell_angle_beta 33.47
_cell_angle_gamma 33.47
loop_
_atom_site_label
_atom_site_type_symbol
_atom_site_fract_x
_atom_site_fract_y
_atom_site_fract_z
_atom_site_occupancy
Pr1 Pr 0.000 0.000 0.000 1
Nd1 Nd 0.500 0.500 0.500 1
Tm1 Tm 0.250 0.250 0.250 1
Tm2 Tm 0.750 0.750 0.750 1
In1 In 0.125 0.125 0.125 1
In2 In 0.375 0.375 0.375 1
In3 In 0.625 0.625 0.625 1
In4 In 0.875 0.875 0.875 1
```

Record 6
An optimized crystal structure of PrNdTmIn, computed with PBE.

Values from the calculation:
Fermi-level density of states in states/eV/atom: 1.5181
Energy above the lowest structure with this stoichiometry in meV per atom: 6
ΔE_f in eV per atom: -0.091

```
data_PrNdTmIn
_space_group_name_H-M_alt 'P 1'
_space_group_IT_number 1
_space_group_name_Hall 'P 1'
_cell_length_a 7.843
_cell_length_b 7.843
_cell_length_c 7.843
_cell_angle_alpha 90.00
_cell_angle_beta 90.00
_cell_angle_gamma 90.00
loop_
_atom_site_label
_atom_site_type_symbol
_atom_site_fract_x
_atom_site_fract_y
_atom_site_fract_z
_atom_site_occupancy
Pr1 Pr 0.000 0.000 0.000 1
Pr2 Pr 0.000 0.500 0.500 1
Pr3 Pr 0.500 0.000 0.500 1
Pr4 Pr 0.500 0.500 0.000 1
Nd1 Nd 0.250 0.250 0.750 1
Nd2 Nd 0.250 0.750 0.250 1
Nd3 Nd 0.750 0.250 0.250 1
Nd4 Nd 0.750 0.750 0.750 1
Tm1 Tm 0.250 0.250 0.250 1
Tm2 Tm 0.250 0.750 0.750 1
Tm3 Tm 0.750 0.250 0.750 1
Tm4 Tm 0.750 0.750 0.250 1
In1 In 0.000 0.000 0.500 1
In2 In 0.000 0.500 0.000 1
In3 In 0.500 0.000 0.000 1
In4 In 0.500 0.500 0.500 1
```

Record 7
An optimized crystal structure of PrNdZnIn, computed with PBE.

Values from the calculation:
Fermi-level density of states in states/eV/atom: 1.2491
Energy above the lowest structure with this stoichiometry in meV per atom: 16
ΔE_f in eV per atom: -0.382

```
data_PrNdZnIn
_space_group_name_H-M_alt 'P 1'
_space_group_IT_number 1
_space_group_name_Hall 'P 1'
_cell_length_a 7.633
_cell_length_b 7.633
_cell_length_c 7.633
_cell_angle_alpha 90.00
_cell_angle_beta 90.00
_cell_angle_gamma 90.00
loop_
_atom_site_label
_atom_site_type_symbol
_atom_site_fract_x
_atom_site_fract_y
_atom_site_fract_z
_atom_site_occupancy
Pr1 Pr 0.000 0.000 0.000 1
Pr2 Pr 0.000 0.500 0.500 1
Pr3 Pr 0.500 0.000 0.500 1
Pr4 Pr 0.500 0.500 0.000 1
Nd1 Nd 0.000 0.000 0.500 1
Nd2 Nd 0.000 0.500 0.000 1
Nd3 Nd 0.500 0.000 0.000 1
Nd4 Nd 0.500 0.500 0.500 1
Zn1 Zn 0.250 0.250 0.250 1
Zn2 Zn 0.250 0.750 0.750 1
Zn3 Zn 0.750 0.250 0.750 1
Zn4 Zn 0.750 0.750 0.250 1
In1 In 0.250 0.250 0.750 1
In2 In 0.250 0.750 0.250 1
In3 In 0.750 0.250 0.250 1
In4 In 0.750 0.750 0.750 1
```

Record 8
An optimized crystal structure of PrNdZnIn, computed with PBE.

Values from the calculation:
Fermi-level density of states in states/eV/atom: 0.9464
Energy above the lowest structure with this stoichiometry in meV per atom: 0
ΔE_f in eV per atom: -0.398

```
data_PrNdZnIn
_space_group_name_H-M_alt 'P 1'
_space_group_IT_number 1
_space_group_name_Hall 'P 1'
_cell_length_a 3.755
_cell_length_b 3.755
_cell_length_c 7.771
_cell_angle_alpha 90.00
_cell_angle_beta 90.00
_cell_angle_gamma 90.00
loop_
_atom_site_label
_atom_site_type_symbol
_atom_site_fract_x
_atom_site_fract_y
_atom_site_fract_z
_atom_site_occupancy
Pr1 Pr 0.000 0.000 0.000 1
Nd1 Nd 0.000 0.000 0.538 1
Zn1 Zn 0.500 0.500 0.765 1
In1 In 0.500 0.500 0.272 1
```